Entry from the Alexandria database: Tb7Sm2Dy2 after structural relaxation (PBE-GGA).

a b c (Å): 8.052 8.052 6.070
angles (deg): 106.07 106.07 91.23
Fractional positions:
Tb  0.000  0.000  0.000
Tb  0.061  0.588  0.823
Tb  0.229  0.229  0.584
Tb  0.412  0.939  0.177
Tb  0.588  0.061  0.823
Tb  0.771  0.771  0.416
Tb  0.939  0.412  0.177
Sm  0.413  0.413  0.196
Sm  0.587  0.587  0.804
Dy  0.216  0.784  0.500
Dy  0.784  0.216  0.500

Final energy   -4.490 eV per atom
ΔH_f (0 K)   0.1509 eV/atom
Crystal system   monoclinic
Space-group type   C2/m (12)
DOS at the Fermi energy   1.60 states/eV/atom